1.
VASP calculation (PBE) on a relaxed structure of SrBeGa2Ir.

Results
Formation energy   -0.35 eV/atom
E   -4.410 eV/atom

a b c (Å): 4.8169 4.8169 4.4707
angles (deg): 90.00 90.00 90.00
Last column: nearest neighbours and their distance in Å.
Sites, in units of the cell vectors:
Sr 0.0000 0.0000 0.0000  8 Ga 3.29, 4 Be 3.41
Be 0.5000 0.5000 0.0000  2 Ir 2.24
Ga 0.0000 0.5000 0.5000  2 Ir 2.41
Ga 0.5000 0.0000 0.5000  2 Ir 2.41
Ir 0.5000 0.5000 0.5000  2 Be 2.24, 4 Ga 2.41

***

2.
VASP calculation (PBE) on a relaxed structure of La4FeAu.

Results
Energy above the lowest structure with this stoichiometry   0 meV per atom
Formation energy   -0.25 eV/atom
E   -5.495 eV/atom

a b c (Å): 7.7290 7.7290 6.3951
angles (deg): 97.88 97.88 110.78
Last column: nearest neighbours and their distance in Å.
Sites, in units of the cell vectors:
La 0.0557 0.7359 0.9698  2 Fe 2.70-2.77
La 0.2168 0.3848 0.5822  2 Au 3.11-3.24, 2 Fe 3.16-3.25
La 0.2641 0.9443 0.5302  2 Fe 2.70-2.77
La 0.3848 0.2168 0.0822  2 Au 3.11-3.24, 2 Fe 3.16-3.25
La 0.6152 0.7832 0.9178  2 Au 3.11-3.24, 2 Fe 3.16-3.25
La 0.7359 0.0557 0.4698  2 Fe 2.70-2.77
La 0.7832 0.6152 0.4178  2 Au 3.11-3.24, 2 Fe 3.16-3.25
La 0.9443 0.2641 0.0302  2 Fe 2.70-2.77
Fe 0.0022 0.9978 0.2500  4 La 2.70-2.77
Fe 0.9978 0.0022 0.7500  4 La 2.70-2.77
Au 0.3729 0.6271 0.2500  8 La 3.11-3.45
Au 0.6271 0.3729 0.7500  8 La 3.11-3.45